Record 1
{
  "formula": "Ce2TmMgIn4",
  "functional": "GGA-PBE",
  "state": "optimized geometry",
  "energy_ev_per_atom": -3.95,
  "lattice": [[5.278, 0.000, 0.000], [2.639, 4.571, 0.000], [2.639, 1.524, 8.826]],
  "species": ["Mg", "In", "In", "In", "In", "Ce", "Ce", "Tm"],
  "fractional_positions": [[0.500, 0.500, 0.500], [0.123, 0.123, 0.630], [0.626, 0.626, 0.123], [0.877, 0.877, 0.370], [0.374, 0.374, 0.877], [0.756, 0.756, 0.732], [0.244, 0.244, 0.268], [0.000, 0.000, 0.000]]
}

---

Record 2
{
  "formula": "Ce2TmMg2In2",
  "functional": "GGA-PBE",
  "state": "optimized geometry",
  "energy_ev_per_atom": -3.74,
  "lattice": [[-1.504, -3.167, -3.381], [2.876, -1.074, -3.782], [4.008, -7.967, 2.171]],
  "species": ["Tm", "Mg", "Mg", "Ce", "Ce", "In", "In"],
  "fractional_positions": [[0.000, 0.000, 0.000], [0.405, 0.405, 0.785], [0.595, 0.595, 0.215], [0.858, 0.858, 0.426], [0.142, 0.142, 0.574], [0.271, 0.271, 0.188], [0.729, 0.729, 0.812]]
}